# LaAs2Cl GGA-PBE relaxed
data_LaAs2Cl
_cell_length_a 4.4713
_cell_length_b 4.4713
_cell_length_c 7.5355
_cell_angle_alpha 74.49
_cell_angle_beta 74.49
_cell_angle_gamma 58.41
_space_group_name_H-M_alt 'P 1'
_space_group_IT_number 1
_space_group_name_Hall 'P 1'
loop_
_atom_site_label
_atom_site_type_symbol
_atom_site_fract_x
_atom_site_fract_y
_atom_site_fract_z
As1 As 0.7186 0.7186 0.8946
Cl1 Cl 0.5199 0.5199 0.4284
As2 As 0.0066 0.0066 0.9636
La1 La 0.2549 0.2549 0.2134
# **ΔE_f (raw)**: -1066 meV/atom
# **E above lowest polymorph**: 0.108 eV per atom